# 1
Cr3GeI: single point on PBEsol structure, SCAN.

a = 4.847 Å, b = 4.847 Å, c = 4.847 Å
α = 90.00°, β = 90.00°, γ = 90.00°
Fractional coordinates of all 5 atoms:
I 0.500 0.500 0.500
Cr 0.000 0.500 0.000
Cr 0.000 0.000 0.500
Cr 0.500 0.000 0.000
Ge 0.000 0.000 0.000

SG: Pm-3m
Energy relative to the elements, uncorrected: 10.11 kcal/mol of atoms
Magnetic moment: 13.0 μB/f.u.

# 2
CdNi2H2: single point on PBEsol structure, SCAN.

a = 3.054 Å, b = 3.054 Å, c = 5.263 Å
α = 106.87°, β = 106.87°, γ = 90.00°
Fractional coordinates of all 5 atoms:
Ni 0.328 0.328 0.655
Ni 0.672 0.672 0.345
Cd 0.000 0.000 0.000
H 0.250 0.750 0.500
H 0.750 0.250 0.500

SG: I4/mmm
DFT total energy: -13.94 eV/atom
Magnetic moment: 0.0 μB/f.u.

# 3
Rb3CaRu: single point on PBEsol structure, SCAN.

a = 6.316 Å, b = 6.316 Å, c = 6.316 Å
α = 90.00°, β = 90.00°, γ = 90.00°
Fractional coordinates of all 5 atoms:
Ru 0.000 0.000 0.000
Ca 0.500 0.500 0.500
Rb 0.000 0.500 0.000
Rb 0.000 0.000 0.500
Rb 0.500 0.000 0.000

SG: Pm-3m
E_form: 0.984 eV per atom
Magnetic moment: 1.5 μB/f.u.

# 4
MgSnNF2: single point on PBEsol structure, SCAN.

a = 3.668 Å, b = 3.668 Å, c = 4.658 Å
α = 90.00°, β = 90.00°, γ = 90.00°
Fractional coordinates of all 5 atoms:
Mg 0.000 0.000 0.000
N 0.000 0.000 0.500
Sn 0.500 0.500 0.500
F 0.000 0.500 0.000
F 0.500 0.000 0.000

SG: P4/mmm
Energy relative to the elements, uncorrected: -37.10 kcal/mol of atoms
Magnetic moment: 0.0 μB/f.u.